1.
Computed, not measured: crystalline PrTiS2O at its relaxed geometry at the GGA-PBE level of DFT.

Structure (extended XYZ):
```
10
Lattice="-3.781 -0.295 -0.238 0.341 -3.691 -0.837 -0.571 -2.936 12.720" Properties=species:S:1:pos:R:3 pbc="T T T"
O -0.285 -1.468 6.360
Ti -0.343 -4.486 11.019
S -2.048 -0.959 3.395
S -0.242 -3.971 8.788
Ti -1.948 -0.444 1.163
O -2.005 -3.461 5.823
S 0.119 -2.112 0.737
Pr -2.234 -1.913 7.529
S -2.409 -2.817 11.446
Pr -0.057 -3.016 4.654
```

Summary:
- E_form (uncorrected): -2027 meV per atom
- Final energy: -72.0 eV for the cell shown
- Space group: No. 129



2.
Computed, not measured: crystalline Pr6Ti2S7O6 at its relaxed geometry at the GGA-PBE level of DFT.

Structure (extended XYZ):
```
42
Lattice="-3.103 2.045 -1.289 -4.401 0.441 11.299 7.393 14.199 4.724" Properties=species:S:1:pos:R:3 pbc="T T T"
Pr 0.353 6.883 1.066
Ti -0.098 12.742 11.450
S -1.233 7.489 11.852
S 4.128 14.813 4.559
S 2.775 15.080 8.241
Pr -3.234 3.403 4.182
S -1.282 1.615 2.647
S 1.099 5.903 3.718
O -2.318 4.013 8.948
S -2.885 1.605 6.494
O -0.851 3.668 4.868
S 1.080 8.994 8.667
Ti -1.956 5.321 10.153
Pr -0.464 9.802 13.669
O -3.484 6.591 9.846
Pr -1.808 3.099 0.266
O 3.046 11.871 8.499
S 1.027 3.990 0.855
O -1.633 4.690 2.371
Pr -0.938 4.874 6.990
S -1.210 10.782 11.017
O 1.522 11.995 12.364
S -1.138 12.695 13.879
S -4.238 1.871 10.175
S 1.122 9.195 2.883
Pr 3.123 13.282 10.553
Pr 0.827 11.811 7.745
Pr 1.699 8.127 5.803
O -3.157 4.813 6.235
O 0.740 13.016 9.867
O 0.738 10.391 5.704
O 3.374 10.093 4.889
Pr 4.462 13.073 6.996
Ti 1.846 11.363 4.581
Ti -0.013 3.943 3.284
S 1.171 15.070 12.087
Pr -1.809 8.558 8.932
O 2.207 12.672 5.786
S -1.191 7.690 6.067
O -0.849 6.294 9.030
Pr -4.573 3.611 7.738
Pr 1.697 13.586 14.468
```

Summary:
- E_form (uncorrected): -2588 meV per atom
- Final energy: -314.9 eV for the cell shown
- Space group: No. 11



3.
Computed, not measured: crystalline Pr2Ti2S2O5 at its relaxed geometry at the GGA-PBE level of DFT.

Structure (extended XYZ):
```
11
Lattice="-3.015 -2.092 1.282 2.278 -3.141 0.233 3.117 5.434 10.288" Properties=species:S:1:pos:R:3 pbc="T T T"
Ti 0.424 0.436 1.705
Pr 0.541 -1.681 4.412
Pr 1.838 1.882 7.391
O 0.000 0.000 0.000
Ti 1.955 -0.235 10.098
O -0.981 -0.501 2.755
O 1.666 -1.026 2.230
S 1.262 -0.947 7.312
S 1.118 1.148 4.491
O 0.713 1.227 9.573
O 3.360 0.702 9.048
```

Summary:
- E_form (uncorrected): -2855 meV per atom
- Final energy: -89.8 eV for the cell shown
- Space group: No. 12



4.
Computed, not measured: crystalline PrTmS2O8 at its relaxed geometry at the GGA-PBE level of DFT.

Structure (extended XYZ):
```
12
Lattice="5.693 0.000 0.000 -2.846 4.930 0.000 0.000 0.000 6.418" Properties=species:S:1:pos:R:3 pbc="T T T"
O 0.000 3.287 3.117
O 1.242 4.004 5.072
S 0.000 3.287 4.581
O 2.846 3.078 1.347
O 0.000 1.852 5.072
Pr 0.000 0.000 3.209
Tm 0.000 0.000 0.000
O 4.089 0.926 1.347
O 2.846 1.643 3.301
O 1.604 0.926 1.347
O -1.242 4.004 5.072
S 2.846 1.643 1.837
```

Summary:
- E_form (uncorrected): -1844 meV per atom
- Final energy: -79.3 eV for the cell shown
- Space group: No. 164



5.
Computed, not measured: crystalline PrTmSO2 at its relaxed geometry at the GGA-PBE level of DFT.

Structure (extended XYZ):
```
10
Lattice="-1.363 2.222 3.136 -5.126 -4.012 0.614 5.859 -2.433 4.271" Properties=species:S:1:pos:R:3 pbc="T T T"
Pr 1.564 -4.524 5.210
Tm 0.639 -1.025 4.981
O 0.785 -2.806 3.655
S 3.901 -1.435 4.038
S -4.531 -2.789 3.983
O 1.430 -2.496 6.367
Pr -2.194 0.300 2.810
Tm -1.269 -3.199 3.040
O -2.060 -1.728 1.654
O -1.415 -1.418 4.366
```

Summary:
- E_form (uncorrected): -3070 meV per atom
- Final energy: -77.3 eV for the cell shown
- Space group: No. 11



6.
Computed, not measured: crystalline PrTmS2O at its relaxed geometry at the GGA-PBE level of DFT.

Structure (extended XYZ):
```
10
Lattice="3.939 0.000 0.000 0.000 3.939 0.000 0.000 0.000 13.908" Properties=species:S:1:pos:R:3 pbc="T T T"
O 0.000 0.000 6.954
S 1.969 0.000 4.113
S 0.000 1.969 9.795
Pr 0.000 1.969 5.687
Tm 0.000 1.969 12.259
S 1.969 0.000 12.666
Pr 1.969 0.000 8.221
O 1.969 1.969 6.954
S 0.000 1.969 1.242
Tm 1.969 0.000 1.649
```

Summary:
- E_form (uncorrected): -2471 meV per atom
- Final energy: -69.6 eV for the cell shown
- Space group: No. 129



7.
Computed, not measured: crystalline Pr2TmS2O2 at its relaxed geometry at the GGA-PBE level of DFT.

Structure (extended XYZ):
```
7
Lattice="4.248 0.000 0.000 0.000 4.248 0.000 -2.124 -2.124 7.549" Properties=species:S:1:pos:R:3 pbc="T T T"
O 2.124 0.000 0.000
Pr 2.124 2.124 2.011
Tm 0.000 0.000 0.000
Pr 0.000 0.000 5.538
O 0.000 2.124 0.000
S 0.000 0.000 2.673
S 2.124 2.124 4.876
```

Summary:
- E_form (uncorrected): -2529 meV per atom
- Final energy: -49.9 eV for the cell shown
- Space group: No. 139